Entry 1:
The following is a DFT calculation (GGA-PBEsol) of CrIrRu2 after structural relaxation.

Values from the calculation:
raw total energy: -40.27 eV per cell
excess energy over the best structure of this formula in the dataset: 69.7 meV/atom
energy relative to the elements: 0.03 eV/atom

Unit cell a=2.6504 b=3.7122 c=5.3064 alpha=90.00 beta=90.00 gamma=90.00
With the nearest neighbours (Å) after each atom.
Element x y z (fractional)
Ru (0.0000, 0.0000, 0.7623)  4 Ru 2.52-2.78, 4 Cr 2.61, 4 Ir 2.67
Ru (0.0000, 0.0000, 0.2377)  4 Ru 2.52-2.78, 4 Cr 2.61, 4 Ir 2.67
Cr (0.5000, 0.5000, 0.0000)  8 Ru 2.61, 2 Cr 2.65, 2 Ir 2.65
Ir (0.5000, 0.5000, 0.5000)  2 Ir 2.65, 2 Cr 2.65, 8 Ru 2.67

Entry 2:
The following is a DFT calculation (GGA-PBEsol) of Cr4IrRu after structural relaxation.

Values from the calculation:
raw total energy: -61.33 eV per cell
energy relative to the elements: -0.06 eV/atom

Unit cell a=4.6569 b=4.6569 c=4.6569 alpha=60.00 beta=60.00 gamma=60.00
With the nearest neighbours (Å) after each atom.
Element x y z (fractional)
Cr (0.8757, 0.3748, 0.3748)  6 Cr 2.32-2.33
Cr (0.3748, 0.3748, 0.3748)  6 Cr 2.32-2.33
Cr (0.3748, 0.3748, 0.8757)  6 Cr 2.32-2.33
Cr (0.3748, 0.8757, 0.3748)  6 Cr 2.32-2.33
Ru (0.0000, 0.0000, 0.0000)  12 Cr 2.73, 4 Ir 2.85
Ir (0.7500, 0.7500, 0.7500)  12 Cr 2.73, 4 Ru 2.85

Entry 3:
The following is a DFT calculation (GGA-PBEsol) of CrIrS2 after structural relaxation.

Values from the calculation:
formation energy (no corrections): 134 meV/atom
raw total energy: -28.30 eV per cell

Unit cell a=4.1333 b=4.1333 c=4.1333 alpha=60.00 beta=60.00 gamma=60.00
With the nearest neighbours (Å) after each atom.
Element x y z (fractional)
Ir (0.5000, 0.5000, 0.5000)  8 S 2.53
Cr (0.0000, 0.0000, 0.0000)  8 S 2.53
S (0.7500, 0.7500, 0.7500)  4 Cr 2.53, 4 Ir 2.53
S (0.2500, 0.2500, 0.2500)  4 Cr 2.53, 4 Ir 2.53